Entry 1:
The following is a PBE calculation of a geometry-optimized Pm8CuOs3Br4 structure, from the Alexandria database.

The crystal system is trigonal. Its total DFT energy (no corrections) is -5.857 eV per atom. The formation energy from raw total energies is -0.70 eV/atom.

The structure belongs to space group R-3m (No. 166, hexagonal axes); the cell edges are 8.2149, 8.2149 and 23.4250 Å and the angles 90.00°, 90.00° and 120.00°. The inequivalent atoms are Pm at (0.0000, 0.0000, 0.2334), Pm at (0.0124, 0.5062, 0.7679), Cu at (0.0000, 0.0000, 0.5000), Os at (0.0000, 0.5000, 0.5000), Br at (0.0000, 0.0000, 0.0000) and Br at (0.0000, 0.5000, 0.0000).

=====

Entry 2:
The following is a PBE calculation of a geometry-optimized HfTl3Os structure, from the Alexandria database.

Its energy above the most stable polymorph in this dataset is 0 meV/atom. The crystal system is cubic. Its total DFT energy (no corrections) is -4.549 eV per atom.

The structure belongs to space group Pm-3m (No. 221); the cell edges are 5.239, 5.239 and 5.239 Å and the angles 90.00°, 90.00° and 90.00°. The inequivalent atoms are Hf at (0.000, 0.000, 0.000), Tl at (0.000, 0.500, 0.500) and Os at (0.500, 0.500, 0.500).

=====

Entry 3:
The following is a PBE calculation of a geometry-optimized NdDyNi2 structure, from the Alexandria database.

Its energy above the most stable polymorph in this dataset is 86 meV/atom. The crystal system is cubic. Its total DFT energy (no corrections) is -5.530 eV per atom.

The structure belongs to space group Fm-3m (No. 225); the cell edges are 6.873, 6.873 and 6.873 Å and the angles 90.00°, 90.00° and 90.00°. The inequivalent atoms are Nd at (0.000, 0.000, 0.000), Dy at (0.000, 0.000, 0.500) and Ni at (0.250, 0.250, 0.250).